[1]
The following is a DFT calculation (PBE) of a geometry-optimized YPuGa4 structure.

The value obtained for the formation energy from the elements is -3.0 eV/f.u. Its density of states at the Fermi level is 1.694 states/eV/atom. The value obtained for the final energy is -5.9842 eV per atom. The calculation puts the offset from the most stable computed form at 0.000 eV/atom.

The space group is Immm (No. 71) and the conventional cell measures 4.4215, 7.3324 and 7.6581 Å, with angles of 90.00, 90.00 and 90.00 degrees. The distinct sites, in fractional coordinates, are Y at (0.0000, 0.0000, 0.0000), Pu at (0.0000, 0.5000, 0.0000) and Ga at (0.0000, 0.2485, 0.3330).

=====

[2]
The following is a DFT calculation (PBE) of a geometry-optimized YPu2Ga structure.

The value obtained for the formation energy from the elements is 0.3 eV/f.u. Its density of states at the Fermi level is 3.640 states/eV/atom. The value obtained for the final energy is -9.4682 eV per atom. The calculation puts the offset from the most stable computed form at 0.232 eV/atom.

The space group is R-3m (No. 166, hexagonal axes) and the conventional cell measures 3.4109, 3.4109 and 32.0583 Å, with angles of 90.00, 90.00 and 120.00 degrees. The distinct sites, in fractional coordinates, are Y at (0.0000, 0.0000, 0.0000), Pu at (0.0000, 0.0000, 0.2405) and Ga at (0.0000, 0.0000, 0.5000).

=====

[3]
The following is a DFT calculation (PBE) of a geometry-optimized Y2PuGa structure.

The value obtained for the formation energy from the elements is -0.4 eV/f.u. Its density of states at the Fermi level is 2.602 states/eV/atom. The value obtained for the final energy is -7.6787 eV per atom. The calculation puts the offset from the most stable computed form at 0.096 eV/atom.

The space group is R-3m (No. 166, hexagonal axes) and the conventional cell measures 3.5470, 3.5470 and 30.7166 Å, with angles of 90.00, 90.00 and 120.00 degrees. The distinct sites, in fractional coordinates, are Y at (0.0000, 0.0000, 0.2389), Pu at (0.0000, 0.0000, 0.0000) and Ga at (0.0000, 0.0000, 0.5000).

=====

[4]
The following is a DFT calculation (PBE) of a geometry-optimized YPuGa4 structure.

The value obtained for the formation energy from the elements is -2.6 eV/f.u. Its density of states at the Fermi level is 2.543 states/eV/atom. The value obtained for the final energy is -5.9223 eV per atom. The calculation puts the offset from the most stable computed form at 0.062 eV/atom.

The space group is F-43m (No. 216) and the conventional cell measures 7.8230, 7.8230 and 7.8230 Å, with angles of 90.00, 90.00 and 90.00 degrees. The distinct sites, in fractional coordinates, are Y at (0.0000, 0.0000, 0.0000), Pu at (0.2500, 0.2500, 0.7500) and Ga at (0.1247, 0.1247, 0.3753).

=====

[5]
The following is a DFT calculation (PBE) of a geometry-optimized YPu3Ga8 structure.

The value obtained for the formation energy from the elements is -4.9 eV/f.u. Its density of states at the Fermi level is 2.853 states/eV/atom. The value obtained for the final energy is -6.5490 eV per atom.

The space group is R3m (No. 160, hexagonal axes) and the conventional cell measures 5.5245, 5.5245 and 26.6890 Å, with angles of 90.00, 90.00 and 120.00 degrees. The distinct sites, in fractional coordinates, are Y at (0.0000, 0.0000, 0.0000), Pu at (0.0000, 0.0000, 0.3849), Pu at (0.0000, 0.0000, 0.4943), Pu at (0.0000, 0.0000, 0.8744), Ga at (0.0000, 0.0000, 0.1882), Ga at (0.0000, 0.0000, 0.6891), Ga at (0.9995, 0.4998, 0.4381) and Ga at (0.0004, 0.5002, 0.9388).

=====

[6]
The following is a DFT calculation (PBE) of a geometry-optimized YPuGa6 structure.

The value obtained for the formation energy from the elements is -3.7 eV/f.u. Its density of states at the Fermi level is 1.188 states/eV/atom. The value obtained for the final energy is -5.3339 eV per atom.

The space group is P-6m2 (No. 187) and the conventional cell measures 6.2241, 6.2241 and 4.6426 Å, with angles of 90.00, 90.00 and 120.00 degrees. The distinct sites, in fractional coordinates, are Y at (0.0000, 0.0000, 0.0000), Pu at (0.3333, 0.6667, 0.5000), Ga at (0.3666, 0.1833, 0.5000) and Ga at (0.5159, 0.0318, 0.0000).

=====

[7]
The following is a DFT calculation (PBE) of a geometry-optimized Y2PuGa6 structure.

The value obtained for the formation energy from the elements is -4.9 eV/f.u. Its density of states at the Fermi level is 1.032 states/eV/atom. The value obtained for the final energy is -5.5897 eV per atom.

The space group is P6/mmm (No. 191) and the conventional cell measures 7.6834, 7.6834 and 3.6166 Å, with angles of 90.00, 90.00 and 120.00 degrees. The distinct sites, in fractional coordinates, are Y at (0.3333, 0.6667, 0.0000), Pu at (0.0000, 0.0000, 0.0000) and Ga at (0.0000, 0.3339, 0.5000).

=====

[8]
The following is a DFT calculation (PBE) of a geometry-optimized YPu2Ga structure.

The value obtained for the formation energy from the elements is -0.6 eV/f.u. Its density of states at the Fermi level is 2.243 states/eV/atom. The value obtained for the final energy is -9.6999 eV per atom. The calculation puts the offset from the most stable computed form at 0.000 eV/atom.

The space group is P4/mmm (No. 123) and the conventional cell measures 4.4066, 4.4066 and 5.0529 Å, with angles of 90.00, 90.00 and 90.00 degrees. The distinct sites, in fractional coordinates, are Y at (0.0000, 0.0000, 0.0000), Pu at (0.0000, 0.5000, 0.5000) and Ga at (0.5000, 0.5000, 0.0000).